[1]
{"formula": "BaLaTa2", "functional": "PBEsol", "state": "relaxed", "lattice_angstrom": [[3.0662, 0.0000, 0.0000], [0.0000, 5.1483, 0.0000], [0.0000, 0.0000, 6.6673]], "species": ["Ba", "La", "Ta", "Ta"], "frac_coords": [[0.0000, 0.0000, 0.0000], [0.0000, 0.0000, 0.5000], [0.5000, 0.5000, 0.3000], [0.5000, 0.5000, 0.7000]], "e_above_lowest_polymorph_mev_per_atom": 475, "formation_enthalpy_0k_mev_per_atom": 949, "m_tot_mub_per_fu": 0.0, "space_group": "Pmmm, No. 47", "vol_a3_per_fu": 105.2}


[2]
{"formula": "BaLaTa2", "functional": "PBEsol", "state": "relaxed", "lattice_angstrom": [[3.5449, 0.0000, 0.0000], [0.0000, 3.5450, 0.0000], [-0.0182, 0.0000, 9.0720]], "species": ["Ba", "La", "Ta", "Ta"], "frac_coords": [[0.0000, 0.0000, 0.0000], [0.5029, 0.5000, 0.6255], [0.0033, 0.0000, 0.3991], [0.5026, 0.5000, 0.2716]], "e_above_lowest_polymorph_mev_per_atom": 0, "formation_enthalpy_0k_mev_per_atom": 474, "m_tot_mub_per_fu": 0.0, "space_group": "Pm, No. 6", "vol_a3_per_fu": 114.0}


[3]
{"formula": "BaLaTa2", "functional": "PBEsol", "state": "relaxed", "lattice_angstrom": [[5.6617, 0.0000, 0.0000], [0.0000, 5.6617, 0.0000], [0.0000, 0.0000, 3.1498]], "species": ["Ba", "La", "Ta", "Ta"], "frac_coords": [[0.0000, 0.0000, 0.0000], [0.5000, 0.5000, 0.0000], [0.0000, 0.5000, 0.5000], [0.5000, 0.0000, 0.5000]], "e_above_lowest_polymorph_mev_per_atom": 752, "formation_enthalpy_0k_mev_per_atom": 1226, "m_tot_mub_per_fu": 0.0, "space_group": "P4/mmm, No. 123", "vol_a3_per_fu": 101.0}


[4]
{"formula": "BaLa3Tc", "functional": "PBEsol", "state": "relaxed", "lattice_angstrom": [[5.6161, 0.0000, 0.0000], [0.0000, 5.6161, 0.0000], [0.0000, 0.0000, 5.6161]], "species": ["Ba", "La", "La", "La", "Tc"], "frac_coords": [[0.0000, 0.0000, 0.0000], [0.0000, 0.5000, 0.5000], [0.5000, 0.0000, 0.5000], [0.5000, 0.5000, 0.0000], [0.5000, 0.5000, 0.5000]], "formation_enthalpy_0k_mev_per_atom": 87, "m_tot_mub_per_fu": 0.0, "space_group": "Pm-3m, No. 221", "vol_a3_per_fu": 177.1}


[5]
{"formula": "BaLaTc2", "functional": "PBEsol", "state": "relaxed", "lattice_angstrom": [[3.4499, 0.0000, 0.0000], [0.0000, 3.4499, 0.0000], [0.0000, 0.0000, 9.2365]], "species": ["Ba", "La", "Tc", "Tc"], "frac_coords": [[0.0000, 0.0000, 0.0000], [0.5000, 0.5000, 0.4031], [0.0000, 0.0000, 0.6539], [0.5000, 0.5000, 0.7036]], "e_above_lowest_polymorph_mev_per_atom": 0, "formation_enthalpy_0k_mev_per_atom": 467, "m_tot_mub_per_fu": 0.0, "space_group": "P4mm, No. 99", "vol_a3_per_fu": 109.9}


[6]
{"formula": "BaLaTc2", "functional": "PBEsol", "state": "relaxed", "lattice_angstrom": [[4.0094, 0.0000, 0.0000], [0.0000, 4.0094, 0.0000], [0.0000, 0.0000, 7.0051]], "species": ["Ba", "La", "Tc", "Tc"], "frac_coords": [[0.0000, 0.0000, 0.0000], [0.0000, 0.0000, 0.5000], [0.5000, 0.5000, 0.3451], [0.5000, 0.5000, 0.6549]], "e_above_lowest_polymorph_mev_per_atom": 234, "formation_enthalpy_0k_mev_per_atom": 702, "m_tot_mub_per_fu": 0.0, "space_group": "P4/mmm, No. 123", "vol_a3_per_fu": 112.6}


[7]
{"formula": "BaLaTc2", "functional": "PBEsol", "state": "relaxed", "lattice_angstrom": [[3.2854, 0.0000, 0.0000], [0.0000, 4.6999, 0.0000], [-1.1879, 0.0000, 6.8729]], "species": ["Ba", "La", "Tc", "Tc"], "frac_coords": [[0.0000, 0.0000, 0.0000], [0.5000, 0.0000, 0.5000], [0.2214, 0.5000, 0.6432], [0.7786, 0.5000, 0.3568]], "e_above_lowest_polymorph_mev_per_atom": 217, "formation_enthalpy_0k_mev_per_atom": 685, "m_tot_mub_per_fu": 0.0, "space_group": "P2/m, No. 10", "vol_a3_per_fu": 106.1}


[8]
{"formula": "BaLa2Tc", "functional": "PBEsol", "state": "relaxed", "lattice_angstrom": [[0.0000, 3.7566, 3.7566], [3.7566, 0.0000, 3.7566], [3.7566, 3.7566, 0.0000]], "species": ["Ba", "La", "La", "Tc"], "frac_coords": [[0.0000, 0.0000, 0.0000], [0.5000, 0.5000, 0.5000], [0.7500, 0.7500, 0.7500], [0.2500, 0.2500, 0.2500]], "formation_enthalpy_0k_mev_per_atom": 616, "m_tot_mub_per_fu": 0.0, "space_group": "F-43m, No. 216", "vol_a3_per_fu": 106.0}